No. 1
{
  "formula": "AsP3Se",
  "functional": "SCAN",
  "state": "PBEsol geometry",
  "lattice": [[4.652, 0.000, 0.000], [0.000, 4.652, 0.000], [0.000, 0.000, 4.652]],
  "species": ["P", "P", "P", "Se", "As"],
  "frac_coords": [[0.500, 0.000, 0.000], [0.000, 0.000, 0.500], [0.000, 0.500, 0.000], [0.000, 0.000, 0.000], [0.500, 0.500, 0.500]],
  "final_energy_ev_per_cell": -64.6,
  "formation_energy_uncorrected_ev_per_fu": 6.89,
  "n_ef_per_ev_cell": 4.1,
  "volume_a3_per_cell": 100.66,
  "sg": "Pm-3m (221)"
}

No. 2
{
  "formula": "AsPSe2",
  "functional": "SCAN",
  "state": "PBEsol geometry",
  "lattice": [[-2.835, 1.835, 0.383], [-1.285, -1.386, -2.873], [-0.978, -5.759, 5.275]],
  "species": ["Se", "Se", "P", "As"],
  "frac_coords": [[0.242, 0.742, 0.485], [0.016, 0.016, 0.032], [0.797, 0.297, 0.594], [0.445, 0.445, 0.889]],
  "final_energy_ev_per_cell": -69.7,
  "formation_energy_uncorrected_ev_per_fu": 1.09,
  "n_ef_per_ev_cell": 1.2,
  "volume_a3_per_cell": 87.54,
  "polymorph_energy_mev_per_atom": 94.0,
  "sg": "Imm2 (44)"
}

No. 3
{
  "formula": "As4PSe",
  "functional": "SCAN",
  "state": "PBEsol geometry",
  "lattice": [[5.436, 0.000, 0.000], [2.718, 4.708, 0.000], [2.718, 1.569, 4.438]],
  "species": ["As", "As", "As", "As", "Se", "P"],
  "frac_coords": [[0.877, 0.374, 0.374], [0.374, 0.374, 0.877], [0.374, 0.374, 0.374], [0.374, 0.877, 0.374], [0.000, 0.000, 0.000], [0.750, 0.750, 0.750]],
  "final_energy_ev_per_cell": -106.3,
  "formation_energy_uncorrected_ev_per_fu": 4.97,
  "n_ef_per_ev_cell": 3.6,
  "volume_a3_per_cell": 113.57,
  "sg": "F-43m (216)"
}

No. 4
{
  "formula": "SiAsPSe2",
  "functional": "SCAN",
  "state": "PBEsol geometry",
  "lattice": [[-2.151, -0.699, 4.077], [-3.764, -1.577, -2.256], [1.743, -4.398, 0.166]],
  "species": ["Se", "Se", "As", "P", "Si"],
  "frac_coords": [[0.000, 0.500, 0.000], [0.500, 0.000, 0.000], [0.000, 0.000, 0.500], [0.500, 0.500, 0.500], [0.000, 0.000, 0.000]],
  "final_energy_ev_per_cell": -76.3,
  "formation_energy_uncorrected_ev_per_fu": 4.47,
  "n_ef_per_ev_cell": 3.5,
  "volume_a3_per_cell": 102.91,
  "polymorph_energy_mev_per_atom": 169.1,
  "sg": "P4/mmm (123)"
}

No. 5
{
  "formula": "SiAsPSe2",
  "functional": "SCAN",
  "state": "PBEsol geometry",
  "lattice": [[4.458, 0.000, 0.000], [0.000, 4.726, 0.000], [0.000, 0.000, 4.726]],
  "species": ["Se", "Se", "As", "Si", "P"],
  "frac_coords": [[0.000, 0.500, 0.000], [0.000, 0.000, 0.500], [0.500, 0.500, 0.500], [0.000, 0.000, 0.000], [0.500, 0.000, 0.000]],
  "final_energy_ev_per_cell": -77.1,
  "formation_energy_uncorrected_ev_per_fu": 3.63,
  "n_ef_per_ev_cell": 3.6,
  "volume_a3_per_cell": 99.55,
  "polymorph_energy_mev_per_atom": 0.0,
  "sg": "P4/mmm (123)"
}

No. 6
{
  "formula": "SrAs2PSe",
  "functional": "SCAN",
  "state": "PBEsol geometry",
  "lattice": [[-1.652, -0.403, 4.523], [0.039, -4.814, -0.414], [4.684, -0.108, 1.701]],
  "species": ["P", "Se", "As", "As", "Sr"],
  "frac_coords": [[0.000, 0.000, 0.000], [0.000, 0.000, 0.500], [0.500, 0.000, 0.000], [0.000, 0.500, 0.000], [0.500, 0.500, 0.500]],
  "final_energy_ev_per_cell": -94.2,
  "formation_energy_uncorrected_ev_per_fu": -1.05,
  "n_ef_per_ev_cell": 4.3,
  "volume_a3_per_cell": 116.38,
  "sg": "P4/mmm (123)"
}

No. 7
{
  "formula": "TaAsPSe2",
  "functional": "SCAN",
  "state": "PBEsol geometry",
  "lattice": [[-2.184, 0.107, 4.095], [-1.913, -4.073, -0.914], [3.572, -2.118, 1.960]],
  "species": ["As", "Se", "Se", "Ta", "P"],
  "frac_coords": [[0.500, 0.000, 0.000], [0.000, 0.500, 0.000], [0.000, 0.000, 0.500], [0.500, 0.500, 0.500], [0.000, 0.000, 0.000]],
  "final_energy_ev_per_cell": -132.6,
  "formation_energy_uncorrected_ev_per_fu": 4.77,
  "n_ef_per_ev_cell": 3.4,
  "volume_a3_per_cell": 97.87,
  "sg": "P4/mmm (123)"
}

No. 8
{
  "formula": "TiAs2PSe",
  "functional": "SCAN",
  "state": "PBEsol geometry",
  "lattice": [[-0.022, 3.503, 3.070], [-4.587, 0.517, -0.623], [-0.806, -3.014, 3.433]],
  "species": ["As", "As", "Ti", "Se", "P"],
  "frac_coords": [[0.500, 0.000, 0.000], [0.000, 0.500, 0.000], [0.500, 0.500, 0.500], [0.000, 0.000, 0.500], [0.000, 0.000, 0.000]],
  "final_energy_ev_per_cell": -84.2,
  "formation_energy_uncorrected_ev_per_fu": 2.68,
  "n_ef_per_ev_cell": 2.6,
  "volume_a3_per_cell": 100.67,
  "sg": "P4/mmm (123)"
}